No. 1
## La2CoHAu (PBE)

Data for a relaxed La2CoHAu crystal.

The structure in POSCAR format:
```
La2CoHAu
1.0
-0.112 -4.413 2.854
2.943 -2.418 -3.623
2.984 1.042 1.728
Co La H Au
1 2 1 1
Direct
0.000 0.000 0.500 Co
0.500 0.000 0.000 La
0.000 0.500 0.000 La
0.000 0.000 0.000 H
0.500 0.500 0.500 Au
```

Summary:
* VASP energy: -5.134 eV per atom
* spin magnetization: 0.00 μB/f.u.
* Fermi-level density of states: 3.29 states/eV/f.u.
* symmetry: P4/mmm (123)

=====

No. 2
## MnCo2HAu (PBE)

Data for a relaxed MnCo2HAu crystal.

The structure in POSCAR format:
```
MnCo2HAu
1.0
-0.734 -3.577 -0.937
2.069 -1.189 2.918
-3.118 0.055 2.234
Co Au Mn H
2 1 1 1
Direct
0.000 0.500 0.000 Co
0.500 0.000 0.000 Co
0.500 0.500 0.500 Au
0.000 0.000 0.500 Mn
0.000 0.000 0.000 H
```

Summary:
* VASP energy: -5.965 eV per atom
* spin magnetization: 6.30 μB/f.u.
* Fermi-level density of states: 4.16 states/eV/f.u.
* symmetry: P4/mmm (123)

=====

No. 3
## Mn2CoHAu (PBE)

Data for a relaxed Mn2CoHAu crystal.

The structure in POSCAR format:
```
Mn2CoHAu
1.0
-0.140 -3.316 2.321
3.108 1.400 2.187
-2.281 1.633 2.197
Au Co Mn H
1 1 2 1
Direct
0.500 0.500 0.500 Au
0.000 0.000 0.500 Co
0.000 0.500 0.000 Mn
0.500 0.000 0.000 Mn
0.000 0.000 0.000 H
```

Summary:
* VASP energy: -6.392 eV per atom
* spin magnetization: 8.59 μB/f.u.
* Fermi-level density of states: 1.92 states/eV/f.u.
* symmetry: P4/mmm (123)

=====

No. 4
## Co2MoHAu (PBE)

Data for a relaxed Co2MoHAu crystal.

The structure in POSCAR format:
```
Co2MoHAu
1.0
-0.653 -3.793 -0.555
2.974 -0.146 -2.500
2.381 -0.832 2.880
H Au Co Mo
1 1 2 1
Direct
0.000 0.000 0.000 H
0.500 0.500 0.500 Au
0.500 0.000 0.000 Co
0.000 0.500 0.000 Co
0.000 0.000 0.500 Mo
```

Summary:
* VASP energy: -6.091 eV per atom
* spin magnetization: 3.77 μB/f.u.
* Fermi-level density of states: 5.14 states/eV/f.u.
* symmetry: P4/mmm (123)